In2Pt3 after structural relaxation, computed with PBE.

Calculated values
Theoretical density in g/cm3: 14.2
DFT total energy in Ry/atom: -0.383
Total moment in μB per atom: 0.00
Space-group type: P6_3/mmc (194)

a b c (Å): 5.6443 5.6443 13.8437
angles (deg): 90.00 90.00 120.00
Last column: nearest neighbours and their distance in Å.
Fractional coordinates of all 20 atoms:
In1 0.0000 0.0000 0.2500  6 Pt 2.75
In2 0.0000 0.0000 0.7500  6 Pt 2.75
In3 0.3333 0.6667 0.0863  9 Pt 2.82-2.93
In4 0.3333 0.6667 0.4137  9 Pt 2.82-2.93
In5 0.3333 0.6667 0.7500  6 Pt 2.76
In6 0.6667 0.3333 0.2500  6 Pt 2.76
In7 0.6667 0.3333 0.5863  9 Pt 2.82-2.93
In8 0.6667 0.3333 0.9137  9 Pt 2.82-2.93
Pt1 0.1660 0.3320 0.5893  5 In 2.75-2.93, 6 Pt 2.81-2.96
Pt2 0.1660 0.3320 0.9107  5 In 2.75-2.93, 6 Pt 2.81-2.96
Pt3 0.1660 0.8340 0.5893  5 In 2.75-2.93, 6 Pt 2.81-2.96
Pt4 0.1660 0.8340 0.9107  5 In 2.75-2.93, 6 Pt 2.81-2.96
Pt5 0.3320 0.1660 0.0893  5 In 2.75-2.93, 6 Pt 2.81-2.96
Pt6 0.3320 0.1660 0.4107  5 In 2.75-2.93, 6 Pt 2.81-2.96
Pt7 0.6680 0.8340 0.5893  5 In 2.75-2.93, 6 Pt 2.81-2.96
Pt8 0.6680 0.8340 0.9107  5 In 2.75-2.93, 6 Pt 2.81-2.96
Pt9 0.8340 0.1660 0.0893  5 In 2.75-2.93, 6 Pt 2.81-2.96
Pt10 0.8340 0.1660 0.4107  5 In 2.75-2.93, 6 Pt 2.81-2.96
Pt11 0.8340 0.6680 0.0893  5 In 2.75-2.93, 6 Pt 2.81-2.96
Pt12 0.8340 0.6680 0.4107  5 In 2.75-2.93, 6 Pt 2.81-2.96

=====

ReBiB4 after structural relaxation, computed with PBE.

Calculated values
Theoretical density in g/cm3: 10.6
DFT total energy in Ry/atom: -0.500
Total moment in μB per atom: 0.00
Space-group type: P6/mmm (191)

a b c (Å): 3.0242 3.0242 8.6549
angles (deg): 90.00 90.00 120.00
Last column: nearest neighbours and their distance in Å.
Fractional coordinates of all 6 atoms:
Re1 0.0000 0.0000 0.0000  12 B 2.42
Bi1 0.0000 0.0000 0.5000  6 Bi 3.02, 12 B 3.18
B1 0.3333 0.6667 0.1929  3 B 1.75
B2 0.3333 0.6667 0.8071  3 B 1.75
B3 0.6667 0.3333 0.1929  3 B 1.75
B4 0.6667 0.3333 0.8071  3 B 1.75

=====

LiTcPbW after structural relaxation, computed with PBE.

Calculated values
Theoretical density in g/cm3: 12.7
DFT total energy in Ry/atom: -0.508
Total moment in μB per atom: 0.00
Space-group type: F-43m (216)

a b c (Å): 4.5117 4.5117 4.5117
angles (deg): 60.00 60.00 60.00
Last column: nearest neighbours and their distance in Å.
Fractional coordinates of all 4 atoms:
Li1 0.0000 0.0000 0.0000  4 W 2.76, 4 Pb 2.76
Tc1 0.5000 0.5000 0.5000  4 W 2.76, 4 Pb 2.76
Pb1 0.2500 0.2500 0.2500  4 Tc 2.76, 4 Li 2.76
W1 0.7500 0.7500 0.7500  4 Li 2.76, 4 Tc 2.76

=====

Cd2HgAs after structural relaxation, computed with PBE.

Calculated values
Theoretical density in g/cm3: 9.2
DFT total energy in Ry/atom: -0.110
Space-group type: F-43m (216)

a b c (Å): 5.0354 5.0354 5.0354
angles (deg): 60.00 60.00 60.00
Last column: nearest neighbours and their distance in Å.
Fractional coordinates of all 4 atoms:
Cd1 0.0000 0.0000 0.0000  4 Hg 3.08, 4 Cd 3.08
Cd2 0.2500 0.2500 0.2500  4 Cd 3.08, 4 As 3.08
Hg1 0.7500 0.7500 0.7500  4 Cd 3.08, 4 As 3.08
As1 0.5000 0.5000 0.5000  4 Cd 3.08, 4 Hg 3.08